Computed, not measured: Y6Si2GeTe3 after structural relaxation at the PBE-GGA level of DFT.

The structure belongs to space group C2/m (No. 12); the cell edges are 7.329, 12.693 and 7.522 Å and the angles 90.00°, 108.95° and 90.00°. Symmetry generates all atoms from Y at (0.238, 0.000, 0.219), Y at (0.241, 0.333, 0.219), Si at (0.000, 0.167, 0.000), Ge at (0.000, 0.500, 0.000), Te at (0.000, 0.000, 0.500) and Te at (0.000, 0.334, 0.500).

As for the density of states at the Fermi level: 5.369 states/eV per cell. The formation energy without anion corrections is -1154 meV/atom.


Computed, not measured: Ba2TlRh after structural relaxation at the PBE-GGA level of DFT.

The structure belongs to space group I-4m2 (No. 119); the cell edges are 5.082, 5.082 and 9.370 Å and the angles 90.00°, 90.00° and 90.00°. Symmetry generates all atoms from Ba at (0.000, 0.000, 0.000), Ba at (0.000, 0.500, 0.250), Tl at (0.000, 0.000, 0.500) and Rh at (0.000, 0.500, 0.750).

As for the density of states at the Fermi level: 9.130 states/eV per cell. The value obtained for the energy relative to the elements is 0.11 eV/f.u. The value obtained for the energy relative to the lowest polymorph listed for this composition is 282.6 meV/atom.


Computed, not measured: LiTi3B after structural relaxation at the PBE-GGA level of DFT.

The structure belongs to space group Pm-3m (No. 221); the cell edges are 4.335, 4.335 and 4.335 Å and the angles 90.00°, 90.00° and 90.00°. Symmetry generates all atoms from Li at (0.000, 0.000, 0.000), Ti at (0.000, 0.500, 0.500) and B at (0.500, 0.500, 0.500).

As for the density of states at the Fermi level: 9.037 states/eV per cell. The value obtained for the energy relative to the elements is 0.53 eV/f.u. The value obtained for the energy relative to the lowest polymorph listed for this composition is 0.0 meV/atom.


Computed, not measured: TiTlTc2Ge after structural relaxation at the PBE-GGA level of DFT.

The structure belongs to space group P4/mmm (No. 123); the cell edges are 5.117, 5.117 and 4.965 Å and the angles 90.00°, 90.00° and 90.00°. Symmetry generates all atoms from Ti at (0.000, 0.000, 0.000), Tl at (0.500, 0.500, 0.500), Tc at (0.000, 0.500, 0.500) and Ge at (0.500, 0.500, 0.000).

As for the density of states at the Fermi level: 6.131 states/eV per cell. The value obtained for the energy relative to the elements is 10.49 eV/f.u.